# 1
Compound: TmMg6Sc
Source: the Alexandria database
Functional: PBE
Structure: optimized geometry

Unit cell a=4.5785 b=4.5785 c=9.1164 alpha=90.00 beta=90.00 gamma=90.00
Fractional positions:
1 Tm 0.0000 0.0000 0.0000
2 Mg 0.0000 0.5000 0.2560
3 Mg 0.0000 0.5000 0.7440
4 Mg 0.5000 0.0000 0.2560
5 Mg 0.5000 0.0000 0.7440
6 Mg 0.5000 0.5000 0.0000
7 Mg 0.5000 0.5000 0.5000
8 Sc 0.0000 0.0000 0.5000

* total magnetization: 0.00 μB/f.u.
* formation enthalpy at 0 K: -41 meV per atom

# 2
Compound: ErIn4AgS8
Source: the Alexandria database
Functional: PBE
Structure: optimized geometry

Unit cell a=7.8036 b=7.8036 c=7.8036 alpha=60.05 beta=60.05 gamma=60.05
Fractional positions:
1 Er 0.0000 0.0000 0.0000
2 In 0.4754 0.9988 0.9988
3 In 0.6168 0.6168 0.6168
4 In 0.9988 0.4754 0.9988
5 In 0.9988 0.9988 0.4754
6 Ag 0.3666 0.3666 0.3666
7 S 0.2192 0.7498 0.7498
8 S 0.2349 0.2349 0.2349
9 S 0.2409 0.2409 0.7625
10 S 0.2409 0.7625 0.2409
11 S 0.7498 0.2192 0.7498
12 S 0.7498 0.7498 0.2192
13 S 0.7528 0.7528 0.7528
14 S 0.7625 0.2409 0.2409

* total magnetization: 0.00 μB/f.u.

Number 1: uncorrected energy -0.1902 Ry per atom. Number 2: uncorrected energy -0.3261 Ry per atom.